Record 1
Here is crystalline Cs2LiLaBr6 at its relaxed geometry from the Alexandria database. Energies are from PBE.

Properties
**ΔE to the lowest computed polymorph**: 0.011 eV per atom
**DOS at the Fermi energy**: 0.0 states/eV/cell

a = 7.0476 Å, b = 7.9994 Å, c = 7.9994 Å
α = 120.00°, β = 90.00°, γ = 90.00°
With the nearest neighbours (Å) after each atom.
Atoms (fractional coordinates):
Cs (0.7903, 0.6667, 0.3333)  9 Br 3.93-4.00
Cs (0.2097, 0.3333, 0.6667)  9 Br 3.93-4.00
Li (0.0000, 0.0000, 0.0000)  6 Br 2.82
La (0.5000, 0.0000, 0.0000)  6 Br 2.93
Br (0.2366, 0.8362, 0.1638)  1 Li 2.82, 1 La 2.93
Br (0.2366, 0.3275, 0.1638)  1 Li 2.82, 1 La 2.93
Br (0.7634, 0.1638, 0.8362)  1 Li 2.82, 1 La 2.93
Br (0.2366, 0.8362, 0.6725)  1 Li 2.82, 1 La 2.93
Br (0.7634, 0.6725, 0.8362)  1 Li 2.82, 1 La 2.93
Br (0.7634, 0.1638, 0.3275)  1 Li 2.82, 1 La 2.93

Record 2
Here is crystalline Ba2NaRhO6 at its relaxed geometry from the Alexandria database. Energies are from PBE.

Properties
**DOS at the Fermi energy**: 10.7 states/eV/cell

a = 5.9428 Å, b = 5.9428 Å, c = 5.9428 Å
α = 60.00°, β = 60.00°, γ = 60.00°
With the nearest neighbours (Å) after each atom.
Atoms (fractional coordinates):
O (0.7695, 0.2305, 0.7695)  1 Rh 1.94
O (0.7695, 0.7695, 0.2305)  1 Rh 1.94
O (0.2305, 0.2305, 0.7695)  1 Rh 1.94
O (0.2305, 0.7695, 0.2305)  1 Rh 1.94
O (0.2305, 0.7695, 0.7695)  1 Rh 1.94
O (0.7695, 0.2305, 0.2305)  1 Rh 1.94
Ba (0.2500, 0.2500, 0.2500)  12 O 2.98
Ba (0.7500, 0.7500, 0.7500)  12 O 2.98
Na (0.5000, 0.5000, 0.5000)  6 O 2.26
Rh (0.0000, 0.0000, 0.0000)  6 O 1.94

Record 3
Here is crystalline Zn3SiNi at its relaxed geometry from the Alexandria database. Energies are from PBE.

Properties
**ΔE to the lowest computed polymorph**: 0.000 eV per atom
**DOS at the Fermi energy**: 2.7 states/eV/cell

a = 4.5163 Å, b = 4.5163 Å, c = 4.5163 Å
α = 90.00°, β = 90.00°, γ = 90.00°
With the nearest neighbours (Å) after each atom.
Atoms (fractional coordinates):
Zn (0.0000, 0.0000, 0.5000)  2 Ni 2.26
Zn (0.5000, 0.0000, 0.0000)  2 Ni 2.26
Zn (0.0000, 0.5000, 0.0000)  2 Ni 2.26
Si (0.5000, 0.5000, 0.5000)  12 Zn 3.19
Ni (0.0000, 0.0000, 0.0000)  6 Zn 2.26

Record 4
Here is crystalline Sm2AlSi4Rh3 at its relaxed geometry from the Alexandria database. Energies are from PBE.

Properties
**DOS at the Fermi energy**: 5.6 states/eV/cell

a = 4.1223 Å, b = 4.1223 Å, c = 10.2143 Å
α = 90.00°, β = 90.00°, γ = 90.00°
With the nearest neighbours (Å) after each atom.
Atoms (fractional coordinates):
Sm (0.0000, 0.5000, 0.7586)  8 Si 3.14-3.21, 6 Rh 3.16-3.35, 2 Al 3.35
Sm (0.5000, 0.0000, 0.2414)  8 Si 3.14-3.21, 6 Rh 3.16-3.35, 2 Al 3.35
Si (0.5000, 0.0000, 0.6454)  3 Rh 2.39-2.54, 2 Al 2.54
Si (0.0000, 0.0000, 0.0000)  4 Rh 2.40
Si (0.0000, 0.5000, 0.3546)  3 Rh 2.39-2.54, 2 Al 2.54
Si (0.5000, 0.5000, 0.0000)  4 Rh 2.40
Rh (0.0000, 0.5000, 0.1210)  5 Si 2.39-2.40
Rh (0.0000, 0.0000, 0.5000)  4 Si 2.54
Rh (0.5000, 0.0000, 0.8790)  5 Si 2.39-2.40
Al (0.5000, 0.5000, 0.5000)  4 Si 2.54

Record 5
Here is crystalline TbHoHfTh at its relaxed geometry from the Alexandria database. Energies are from PBE.

Properties
**ΔH_f (0 K)**: 0.825 eV per formula unit
**DOS at the Fermi energy**: 6.9 states/eV/cell

a = 5.4613 Å, b = 5.4613 Å, c = 5.4613 Å
α = 60.00°, β = 60.00°, γ = 60.00°
With the nearest neighbours (Å) after each atom.
Atoms (fractional coordinates):
Hf (0.2500, 0.2500, 0.2500)  4 Th 3.34, 4 Tb 3.34
Tb (0.0000, 0.0000, 0.0000)  4 Ho 3.34, 4 Hf 3.34
Th (0.5000, 0.5000, 0.5000)  4 Hf 3.34, 4 Ho 3.34
Ho (0.7500, 0.7500, 0.7500)  4 Tb 3.34, 4 Th 3.34

Record 6
Here is crystalline CoNi2Pt6 at its relaxed geometry from the Alexandria database. Energies are from PBE.

Properties
**ΔH_f (0 K)**: -0.606 eV per formula unit
**ΔE to the lowest computed polymorph**: 0.000 eV per atom
**DOS at the Fermi energy**: 12.2 states/eV/cell

a = 4.7036 Å, b = 10.5829 Å, c = 7.2657 Å
α = 33.97°, β = 39.97°, γ = 47.48°
With the nearest neighbours (Å) after each atom.
Atoms (fractional coordinates):
Ni (0.8878, 0.5569, 0.6666)  9 Pt 2.64-2.75, 2 Ni 2.72-2.76, 1 Co 2.74
Ni (0.1122, 0.4431, 0.3333)  9 Pt 2.64-2.75, 2 Ni 2.72-2.76, 1 Co 2.74
Co (0.0000, 0.0000, 0.0000)  10 Pt 2.67-2.77, 2 Ni 2.74
Pt (0.4531, 0.7748, 0.3318)  3 Ni 2.69-2.72, 7 Pt 2.69-2.82, 2 Co 2.71-2.74
Pt (0.6433, 0.6630, 0.0161)  4 Ni 2.66-2.75, 1 Co 2.67, 7 Pt 2.68-2.82
Pt (0.7617, 0.1171, 0.3359)  2 Ni 2.64-2.73, 8 Pt 2.68-2.80, 2 Co 2.69-2.77
Pt (0.3567, 0.3370, 0.9839)  4 Ni 2.66-2.75, 1 Co 2.67, 7 Pt 2.68-2.82
Pt (0.5469, 0.2252, 0.6682)  3 Ni 2.69-2.72, 7 Pt 2.69-2.82, 2 Co 2.71-2.74
Pt (0.2383, 0.8829, 0.6641)  2 Ni 2.64-2.73, 8 Pt 2.68-2.80, 2 Co 2.69-2.77

no.,DFT total energy (eV per atom)
1,-3.6993
2,-5.7941
3,-2.5182
4,-6.6252
5,-6.4390
6,-6.1688